# 1
Entry from OQMD via LeMat-Bulk: a geometry-optimized LuZnInSe3 structure (PBE).

Results
**Distance to the lowest polymorph of the same formula**: 0 meV per atom

a = 10.7494 Å, b = 4.0454 Å, c = 14.5843 Å
α = 90.00°, β = 90.00°, γ = 90.00°
Atoms (fractional coordinates):
1 In 0.2257 0.2500 0.0008
2 In 0.7257 0.2500 0.4992
3 In 0.2743 0.7500 0.5008
4 In 0.7743 0.7500 0.9992
5 Lu 0.4854 0.2500 0.2451
6 Lu 0.9854 0.2500 0.2549
7 Lu 0.0146 0.7500 0.7451
8 Lu 0.5146 0.7500 0.7549
9 Se 0.4257 0.7500 0.1184
10 Se 0.0424 0.7500 0.1251
11 Se 0.7373 0.2500 0.1824
12 Se 0.2373 0.2500 0.3176
13 Se 0.5424 0.7500 0.3749
14 Se 0.9257 0.7500 0.3816
15 Se 0.0743 0.2500 0.6184
16 Se 0.4576 0.2500 0.6251
17 Se 0.7627 0.7500 0.6824
18 Se 0.2627 0.7500 0.8176
19 Se 0.9576 0.2500 0.8749
20 Se 0.5743 0.2500 0.8816
21 Zn 0.2376 0.7500 0.2124
22 Zn 0.7376 0.7500 0.2876
23 Zn 0.2624 0.2500 0.7124
24 Zn 0.7624 0.2500 0.7876

=====

# 2
Entry from OQMD via LeMat-Bulk: a geometry-optimized LuInSi2 structure (PBE).

Results
**Energy**: -4.317 eV per atom

a = 4.9187 Å, b = 4.9187 Å, c = 4.9187 Å
α = 60.00°, β = 60.00°, γ = 60.00°
Atoms (fractional coordinates):
1 In 0.5000 0.5000 0.5000
2 Lu 0.2500 0.2500 0.2500
3 Si 0.0000 0.0000 0.0000
4 Si 0.7500 0.7500 0.7500

=====

# 3
Entry from OQMD via LeMat-Bulk: a geometry-optimized LuInSi structure (PBE).

Results
**Energy**: -4.315 eV per atom

a = 4.6739 Å, b = 4.6739 Å, c = 4.6739 Å
α = 60.00°, β = 60.00°, γ = 60.00°
Atoms (fractional coordinates):
1 In 0.2500 0.2500 0.2500
2 Lu 0.7500 0.7500 0.7500
3 Si 0.0000 0.0000 0.0000

=====

# 4
Entry from OQMD via LeMat-Bulk: a geometry-optimized SmLuIn4 structure (PBE).

Results
**Energy**: -3.784 eV per atom

a = 4.6503 Å, b = 7.4692 Å, c = 7.4692 Å
α = 36.02°, β = 90.00°, γ = 90.00°
Atoms (fractional coordinates):
1 In 0.5000 0.1787 0.1787
2 In 0.5000 0.4966 0.4966
3 In 0.5000 0.8285 0.8285
4 In 0.0000 0.9968 0.9968
5 Lu 0.0000 0.3445 0.3445
6 Sm 0.0000 0.6549 0.6549

=====

# 5
Entry from OQMD via LeMat-Bulk: a geometry-optimized SmLuIn structure (PBE).

Results
**Distance to the lowest polymorph of the same formula**: 0 meV per atom

a = 5.1788 Å, b = 5.1788 Å, c = 5.1788 Å
α = 60.00°, β = 60.00°, γ = 60.00°
Atoms (fractional coordinates):
1 In 0.0000 0.0000 0.0000
2 Lu 0.2500 0.2500 0.2500
3 Sm 0.7500 0.7500 0.7500

=====

# 6
Entry from OQMD via LeMat-Bulk: a geometry-optimized SmLuInTe3 structure (PBE).

Results
**Energy**: -4.483 eV per atom

a = 7.8875 Å, b = 7.8875 Å, c = 12.1209 Å
α = 90.00°, β = 90.00°, γ = 147.64°
Atoms (fractional coordinates):
1 In 0.2520 0.7480 0.2500
2 In 0.7480 0.2520 0.7500
3 Lu 0.9310 0.0690 0.2500
4 Lu 0.0690 0.9310 0.7500
5 Sm 0.5000 0.5000 0.0000
6 Sm 0.5000 0.5000 0.5000
7 Te 0.8521 0.1479 0.0326
8 Te 0.5639 0.4361 0.2500
9 Te 0.8521 0.1479 0.4674
10 Te 0.1479 0.8521 0.5326
11 Te 0.4361 0.5639 0.7500
12 Te 0.1479 0.8521 0.9674

=====

# 7
Entry from OQMD via LeMat-Bulk: a geometry-optimized LuInSn2 structure (PBE).

Results
**Energy**: -3.926 eV per atom

a = 5.3261 Å, b = 5.3261 Å, c = 5.3261 Å
α = 60.00°, β = 60.00°, γ = 60.00°
Atoms (fractional coordinates):
1 In 0.7500 0.7500 0.7500
2 Lu 0.5000 0.5000 0.5000
3 Sn 0.0000 0.0000 0.0000
4 Sn 0.2500 0.2500 0.2500

=====

# 8
Entry from OQMD via LeMat-Bulk: a geometry-optimized SrLuIn structure (PBE).

Results
**Distance to the lowest polymorph of the same formula**: 0 meV per atom

a = 5.2755 Å, b = 5.2755 Å, c = 5.2755 Å
α = 60.00°, β = 60.00°, γ = 60.00°
Atoms (fractional coordinates):
1 In 0.2500 0.2500 0.2500
2 Lu 0.0000 0.0000 0.0000
3 Sr 0.7500 0.7500 0.7500